# Sr3GaO4 (PBE, optimized geometry)
# Crystal system   orthorhombic
# Uncorrected energy   -5.770 eV/atom
# D(E_F)   0.27 states/eV per atom
# Energy relative to the elements, uncorrected   -2282 meV/atom
data_Sr3GaO4
_space_group_name_H-M_alt 'P m n 21'
_space_group_IT_number 31
_cell_length_a 7.839
_cell_length_b 6.959
_cell_length_c 5.631
_cell_angle_alpha 90.00
_cell_angle_beta 90.00
_cell_angle_gamma 90.00
loop_
_space_group_symop_operation_xyz
'x,y,z'
'-x+1/2,-y,z+1/2'
'-x,y,z'
'x+1/2,-y,z+1/2'
loop_
_atom_site_label
_atom_site_type_symbol
_atom_site_fract_x
_atom_site_fract_y
_atom_site_fract_z
_atom_site_occupancy
Sr1 Sr 0.000 0.150 0.000 1
Sr2 Sr 0.248 0.664 0.003 1
Ga1 Ga 0.000 0.833 0.478 1
O1 O 0.000 0.105 0.556 1
O2 O 0.000 0.830 0.140 1
O3 O 0.208 0.705 0.563 1